# Y2GaSi4Ni3 (GGA-PBE, relaxed)
# - ΔE_f (raw) (meV per atom) = -765
# - total energy (eV per atom) = -6.264
# - magnetization (μB/cell) = 0.000
data_Y2GaSi4Ni3
_symmetry_space_group_name_H-M 'P -4 m 2'
_symmetry_Int_Tables_number 115
_symmetry_space_group_name_Hall 'P -4 -2'
_cell_length_a 3.959
_cell_length_b 3.959
_cell_length_c 9.893
_cell_angle_alpha 90.00
_cell_angle_beta 90.00
_cell_angle_gamma 90.00
loop_
_atom_site_label
_atom_site_fract_x
_atom_site_fract_y
_atom_site_fract_z
Y1 0.000 0.500 0.241
Ga1 0.000 0.000 0.500
Si1 0.000 0.000 0.000
Si2 0.000 0.500 0.648
Si3 0.500 0.500 0.000
Ni1 0.000 0.500 0.878
Ni2 0.500 0.500 0.500